MoF6 | PBE+U | relaxed

Density of states at the Fermi level = 0.000 states/eV per atom
ρ = 3.00 Mg/m³
Uncorrected energy = -4.9207 eV per atom
Excess energy over the best structure of this formula in the dataset = 0.00 eV per formula unit

The structure in CIF format:
```
data_MoF6
_cell_length_a 10.0026
_cell_length_b 8.9974
_cell_length_c 5.1598
_cell_angle_alpha 90.00
_cell_angle_beta 90.00
_cell_angle_gamma 90.00
_symmetry_space_group_name_H-M 'P n m a'
_symmetry_Int_Tables_number 62
loop_
_symmetry_equiv_pos_as_xyz
'x,y,z'
'-x,-y,-z'
'-x+1/2,-y,z+1/2'
'x+1/2,y,-z+1/2'
'x+1/2,-y+1/2,-z+1/2'
'-x+1/2,y+1/2,z+1/2'
'-x,y+1/2,-z'
'x,-y+1/2,z'
loop_
_atom_site_label
_atom_site_type_symbol
_atom_site_fract_x
_atom_site_fract_y
_atom_site_fract_z
_atom_site_occupancy
Mo1 Mo 0.1311 0.2500 0.0684 1
F1 F 0.0119 0.2500 0.7900 1
F2 F 0.0296 0.1034 0.2329 1
F3 F 0.2325 0.1032 0.9047 1
F4 F 0.2493 0.7500 0.8468 1
```


MoF5 | PBE+U | relaxed

Density of states at the Fermi level = 0.000 states/eV per atom
ρ = 3.18 Mg/m³
Uncorrected energy = -5.1174 eV per atom
Excess energy over the best structure of this formula in the dataset = 0.00 eV per formula unit

The structure in CIF format:
```
data_MoF5
_cell_length_a 9.9943
_cell_length_b 14.5906
_cell_length_c 5.4826
_cell_angle_alpha 90.00
_cell_angle_beta 92.64
_cell_angle_gamma 90.00
_symmetry_space_group_name_H-M 'C 1 2/m 1'
_symmetry_Int_Tables_number 12
loop_
_symmetry_equiv_pos_as_xyz
'x,y,z'
'-x,-y,-z'
'-x,y,-z'
'x,-y,z'
'x+1/2,y+1/2,z'
'-x+1/2,-y+1/2,-z'
'-x+1/2,y+1/2,-z'
'x+1/2,-y+1/2,z'
loop_
_atom_site_label
_atom_site_type_symbol
_atom_site_fract_x
_atom_site_fract_y
_atom_site_fract_z
_atom_site_occupancy
Mo1 Mo 0.0000 0.2032 0.0000 1
Mo2 Mo 0.2439 0.5000 0.2502 1
F1 F 0.0946 0.1858 0.2958 1
F2 F 0.1168 0.2919 0.8821 1
F3 F 0.1253 0.1001 0.8750 1
F4 F 0.1321 0.4069 0.3597 1
F5 F 0.1408 0.0000 0.4741 1
F6 F 0.1740 0.5000 0.9305 1
```


MoF | PBE+U | relaxed

Density of states at the Fermi level = 0.132 states/eV per atom
ρ = 6.37 Mg/m³
Uncorrected energy = -4.9453 eV per atom
Excess energy over the best structure of this formula in the dataset = 0.73 eV per formula unit

The structure in CIF format:
```
data_MoF
_cell_length_a 7.0078
_cell_length_b 7.1044
_cell_length_c 9.6311
_cell_angle_alpha 90.00
_cell_angle_beta 90.00
_cell_angle_gamma 90.00
_symmetry_space_group_name_H-M 'F d d d'
_symmetry_Int_Tables_number 70
loop_
_symmetry_equiv_pos_as_xyz
'x,y,z'
'-x,-y,-z'
'-x+1/4,-y+1/4,z'
'x+1/4,y+1/4,-z'
'x,-y+1/4,-z+1/4'
'-x,y+1/4,z+1/4'
'-x+1/4,y,-z+1/4'
'x+1/4,-y,z+1/4'
'x,y+1/2,z+1/2'
'-x,-y+1/2,-z+1/2'
'-x+1/4,-y+3/4,z+1/2'
'x+1/4,y+3/4,-z+1/2'
'x,-y+3/4,-z+3/4'
'-x,y+3/4,z+3/4'
'-x+1/4,y+1/2,-z+3/4'
'x+1/4,-y+1/2,z+3/4'
'x+1/2,y,z+1/2'
'-x+1/2,-y,-z+1/2'
'-x+3/4,-y+1/4,z+1/2'
'x+3/4,y+1/4,-z+1/2'
'x+1/2,-y+1/4,-z+3/4'
'-x+1/2,y+1/4,z+3/4'
'-x+3/4,y,-z+3/4'
'x+3/4,-y,z+3/4'
'x+1/2,y+1/2,z'
'-x+1/2,-y+1/2,-z'
'-x+3/4,-y+3/4,z'
'x+3/4,y+3/4,-z'
'x+1/2,-y+3/4,-z+1/4'
'-x+1/2,y+3/4,z+1/4'
'-x+3/4,y+1/2,-z+1/4'
'x+3/4,-y+1/2,z+1/4'
loop_
_atom_site_label
_atom_site_type_symbol
_atom_site_fract_x
_atom_site_fract_y
_atom_site_fract_z
_atom_site_occupancy
Mo1 Mo 0.1250 0.2881 0.1250 1
F1 F 0.1250 0.1250 0.4849 1
```


MoF4 | PBE+U | relaxed

ρ = 3.95 Mg/m³
Uncorrected energy = -5.3264 eV per atom
Excess energy over the best structure of this formula in the dataset = 0.01 eV per formula unit

The structure in CIF format:
```
data_MoF4
_cell_length_a 5.7800
_cell_length_b 5.8949
_cell_length_c 8.4930
_cell_angle_alpha 90.00
_cell_angle_beta 90.00
_cell_angle_gamma 90.00
_symmetry_space_group_name_H-M 'C m c m'
_symmetry_Int_Tables_number 63
_symmetry_space_group_name_Hall '-C 2c 2'
loop_
_atom_site_label
_atom_site_type_symbol
_atom_site_fract_x
_atom_site_fract_y
_atom_site_fract_z
_atom_site_occupancy
Mo1 Mo 0.0000 0.2459 0.2500 1
F1 F 0.0000 0.2500 0.0247 1
F2 F 0.2493 0.0042 0.7500 1
```


MoF3 | PBE+U | relaxed

Density of states at the Fermi level = 0.008 states/eV per atom
ρ = 4.94 Mg/m³
Uncorrected energy = -4.7470 eV per atom
Excess energy over the best structure of this formula in the dataset = 4.06 eV per formula unit

The structure in CIF format:
```
data_MoF3
_cell_length_a 3.7508
_cell_length_b 3.7508
_cell_length_c 14.6202
_cell_angle_alpha 90.00
_cell_angle_beta 90.00
_cell_angle_gamma 90.00
_symmetry_space_group_name_H-M 'I -4 2 d'
_symmetry_Int_Tables_number 122
_symmetry_space_group_name_Hall 'I -4 2bw'
loop_
_atom_site_label
_atom_site_type_symbol
_atom_site_fract_x
_atom_site_fract_y
_atom_site_fract_z
_atom_site_occupancy
Mo1 Mo 0.0000 0.0000 0.0000 1
F1 F 0.0000 0.0000 0.5000 1
F2 F 0.1725 0.2500 0.1250 1
```


MoF | PBE+U | relaxed

Density of states at the Fermi level = 0.389 states/eV per atom
ρ = 4.93 Mg/m³
Uncorrected energy = -4.8010 eV per atom
Excess energy over the best structure of this formula in the dataset = 1.02 eV per formula unit

The structure in CIF format:
```
data_MoF
_cell_length_a 9.3881
_cell_length_b 9.3881
_cell_length_c 3.0426
_cell_angle_alpha 90.00
_cell_angle_beta 90.00
_cell_angle_gamma 120.00
_symmetry_space_group_name_H-M 'P 63/m m c'
_symmetry_Int_Tables_number 194
_symmetry_space_group_name_Hall '-P 6c 2c'
loop_
_atom_site_label
_atom_site_type_symbol
_atom_site_fract_x
_atom_site_fract_y
_atom_site_fract_z
_atom_site_occupancy
Mo1 Mo 0.1176 0.5588 0.2500 1
F1 F 0.1913 0.3825 0.2500 1
```


MoF5 | PBE+U | relaxed

ρ = 3.70 Mg/m³
Uncorrected energy = -4.8328 eV per atom
Excess energy over the best structure of this formula in the dataset = 1.71 eV per formula unit

The structure in CIF format:
```
data_MoF5
_cell_length_a 3.5922
_cell_length_b 11.2320
_cell_length_c 8.5015
_cell_angle_alpha 90.00
_cell_angle_beta 90.00
_cell_angle_gamma 90.00
_symmetry_space_group_name_H-M 'C m c m'
_symmetry_Int_Tables_number 63
_symmetry_space_group_name_Hall '-C 2c 2'
loop_
_atom_site_label
_atom_site_type_symbol
_atom_site_fract_x
_atom_site_fract_y
_atom_site_fract_z
_atom_site_occupancy
Mo1 Mo 0.0000 0.0000 0.0000 1
F1 F 0.0000 0.0245 0.2500 1
F2 F 0.0000 0.1546 0.5875 1
F3 F 0.0000 0.4236 0.5839 1
```


MoF | PBE+U | relaxed

Density of states at the Fermi level = 1.151 states/eV per atom
ρ = 5.19 Mg/m³
Uncorrected energy = -4.7690 eV per atom
Excess energy over the best structure of this formula in the dataset = 1.09 eV per formula unit

The structure in CIF format:
```
data_MoF
_cell_length_a 5.2788
_cell_length_b 5.2788
_cell_length_c 5.2788
_cell_angle_alpha 90.00
_cell_angle_beta 90.00
_cell_angle_gamma 90.00
_symmetry_space_group_name_H-M 'F m -3 m'
_symmetry_Int_Tables_number 225
_symmetry_space_group_name_Hall '-F 4 2 3'
loop_
_atom_site_label
_atom_site_type_symbol
_atom_site_fract_x
_atom_site_fract_y
_atom_site_fract_z
_atom_site_occupancy
Mo1 Mo 0.0000 0.0000 0.0000 1
F1 F 0.0000 0.0000 0.5000 1
```


MoF | PBE+U | relaxed

Density of states at the Fermi level = 0.147 states/eV per atom
ρ = 5.01 Mg/m³
Uncorrected energy = -5.3119 eV per atom
Excess energy over the best structure of this formula in the dataset = 0.00 eV per formula unit

The structure in CIF format:
```
data_MoF
_cell_length_a 3.3053
_cell_length_b 9.6372
_cell_length_c 7.1781
_cell_angle_alpha 90.00
_cell_angle_beta 90.00
_cell_angle_gamma 90.00
_symmetry_space_group_name_H-M 'P m m n'
_symmetry_Int_Tables_number 59
loop_
_symmetry_equiv_pos_as_xyz
'x,y,z'
'-x,-y,-z'
'-x+1/2,-y+1/2,z'
'x+1/2,y+1/2,-z'
'x+1/2,-y,-z'
'-x+1/2,y,z'
'-x,y+1/2,-z'
'x,-y+1/2,z'
loop_
_atom_site_label
_atom_site_type_symbol
_atom_site_fract_x
_atom_site_fract_y
_atom_site_fract_z
_atom_site_occupancy
Mo1 Mo 0.2500 0.0840 0.1839 1
Mo2 Mo 0.2500 0.7500 0.5687 1
F1 F 0.2500 0.2500 0.9898 1
F2 F 0.2500 0.5962 0.3448 1
```


MoF3 | PBE+U | relaxed

Density of states at the Fermi level = 0.000 states/eV per atom
ρ = 3.44 Mg/m³
Uncorrected energy = -5.7458 eV per atom
Excess energy over the best structure of this formula in the dataset = 0.07 eV per formula unit

The structure in CIF format:
```
data_MoF3
_cell_length_a 4.1956
_cell_length_b 4.1956
_cell_length_c 4.1956
_cell_angle_alpha 90.00
_cell_angle_beta 90.00
_cell_angle_gamma 90.00
_symmetry_space_group_name_H-M 'P m -3 m'
_symmetry_Int_Tables_number 221
_symmetry_space_group_name_Hall '-P 4 2 3'
loop_
_atom_site_label
_atom_site_type_symbol
_atom_site_fract_x
_atom_site_fract_y
_atom_site_fract_z
_atom_site_occupancy
Mo1 Mo 0.0000 0.0000 0.0000 1
F1 F 0.0000 0.0000 0.5000 1
```